(1)
HoMn4Nb PBE relaxed; magnetic moment = 0.519 μB/atom; formation energy from the elements = 0.02 eV/atom; density of states at the Fermi level = 5.916 states/eV per cell; space group = F-43m (216)
1.0
-0.671 4.037 -2.815
-2.952 3.668 1.582
1.965 4.347 1.383
Nb Mn Ho
1 4 1
Direct
0.250 0.250 0.250
0.624 0.624 0.127
0.624 0.127 0.624
0.624 0.624 0.624
0.127 0.624 0.624
0.000 0.000 0.000

(2)
HoMnNbRu PBE relaxed; magnetic moment = 0.099 μB/atom; formation energy from the elements = -0.03 eV/atom; density of states at the Fermi level = 3.814 states/eV per cell; space group = F-43m (216)
1.0
-2.193 0.359 -3.999
-4.508 -0.749 -0.212
-2.867 3.490 -0.732
Ru Nb Mn Ho
1 1 1 1
Direct
0.750 0.750 0.750
0.500 0.500 0.500
0.250 0.250 0.250
0.000 0.000 0.000

(3)
HoMnNbSi2 PBE relaxed; magnetic moment = 0.304 μB/atom; total DFT energy (no corrections) = -7.50 eV/atom; density of states at the Fermi level = 3.435 states/eV per cell; space group = I-4m2 (119)
1.0
-1.476 3.562 0.776
-1.488 0.175 -3.636
-3.263 -4.233 3.259
Ho Mn Nb Si
1 1 1 2
Direct
0.000 0.000 0.000
0.750 0.250 0.500
0.250 0.750 0.500
0.607 0.607 0.213
0.393 0.393 0.787